(1)
First-principles (PBE) data for a geometry-optimized AcSmEuPb structure, as listed in the Alexandria database.

Cell lengths 5.773, 5.773, 5.773 Å; angles 60.00, 60.00, 60.00 degrees
Element x y z (fractional)
Ac (0.000, 0.000, 0.000)
Sm (0.750, 0.750, 0.750)
Eu (0.250, 0.250, 0.250)
Pb (0.500, 0.500, 0.500)

Results
SG = F-43m (216)
Energy of formation from the pure elements = -90 meV per atom
Total energy = -5.79 eV/atom



(2)
First-principles (PBE) data for a geometry-optimized EuDy3Ni structure, as listed in the Alexandria database.

Cell lengths 5.376, 5.376, 5.376 Å; angles 90.00, 90.00, 90.00 degrees
Element x y z (fractional)
Eu (0.000, 0.000, 0.000)
Dy (0.000, 0.500, 0.500)
Dy (0.500, 0.000, 0.500)
Dy (0.500, 0.500, 0.000)
Ni (0.500, 0.500, 0.500)

Results
SG = Pm-3m (221)
Energy of formation from the pure elements = -78 meV per atom
Total energy = -6.05 eV/atom



(3)
First-principles (PBE) data for a geometry-optimized PuMnSn2 structure, as listed in the Alexandria database.

Cell lengths 6.018, 6.018, 6.018 Å; angles 44.18, 44.18, 44.18 degrees
Element x y z (fractional)
Pu (0.000, 0.000, 0.000)
Mn (0.500, 0.500, 0.500)
Sn (0.227, 0.227, 0.227)
Sn (0.773, 0.773, 0.773)

Results
SG = R-3m (166)
Energy of formation from the pure elements = -18 meV per atom
Total energy = -7.90 eV/atom



(4)
First-principles (PBE) data for a geometry-optimized CaFe2Cu structure, as listed in the Alexandria database.

Cell lengths 2.921, 4.428, 5.296 Å; angles 90.00, 100.16, 90.00 degrees
Element x y z (fractional)
Ca (0.000, 0.000, 0.000)
Fe (0.302, 0.500, 0.676)
Fe (0.698, 0.500, 0.324)
Cu (0.500, 0.000, 0.500)

Results
SG = P2/m (10)
Energy of formation from the pure elements = 465 meV per atom
Total energy = -5.29 eV/atom



(5)
First-principles (PBE) data for a geometry-optimized BaNaHfAu structure, as listed in the Alexandria database.

Cell lengths 3.578, 3.578, 9.426 Å; angles 90.00, 90.00, 90.00 degrees
Element x y z (fractional)
Ba (0.000, 0.000, 0.000)
Na (0.500, 0.500, 0.354)
Hf (0.500, 0.500, 0.704)
Au (0.000, 0.000, 0.573)

Results
SG = P4mm (99)
Energy of formation from the pure elements = 7 meV per atom
Total energy = -4.11 eV/atom
Energy above the lowest structure with this stoichiometry = 0.00 eV/f.u.



(6)
First-principles (PBE) data for a geometry-optimized PmCd4Au2 structure, as listed in the Alexandria database.

Cell lengths 8.623, 8.623, 4.355 Å; angles 90.00, 90.00, 90.00 degrees
Element x y z (fractional)
Pm (0.000, 0.000, 0.000)
Pm (0.500, 0.500, 0.500)
Cd (0.101, 0.347, 0.500)
Cd (0.153, 0.601, 0.000)
Cd (0.347, 0.101, 0.500)
Cd (0.399, 0.847, 0.000)
Cd (0.601, 0.153, 0.000)
Cd (0.653, 0.899, 0.500)
Cd (0.847, 0.399, 0.000)
Cd (0.899, 0.653, 0.500)
Au (0.179, 0.821, 0.500)
Au (0.321, 0.321, 0.000)
Au (0.679, 0.679, 0.000)
Au (0.821, 0.179, 0.500)

Results
SG = P4_2/mnm (136)
Energy of formation from the pure elements = -353 meV per atom
Total energy = -2.49 eV/atom
Energy above the lowest structure with this stoichiometry = 0.00 eV/f.u.



no.,V (Å³/f.u.)
1,136.1
2,155.4
3,96.2
4,67.4
5,120.7
6,161.9